No. 1
Computed, not measured: an optimized crystal structure of LiP4WO12 at the GGA-PBEsol level of DFT.

total magnetic moment	3.00	μB per formula unit
DFT total energy	-7.645	eV per atom
energy above the most stable polymorph in this dataset	0.66	kcal/mol of atoms

Cell: 10.672 10.672 5.299 Å, 100.31 100.31 70.66°
Element x y z (fractional)
1 Li 0.091 0.091 0.019
2 Li 0.909 0.909 0.981
3 P 0.134 0.710 0.328
4 P 0.198 0.436 0.039
5 P 0.290 0.866 0.672
6 P 0.436 0.198 0.039
7 P 0.564 0.802 0.961
8 P 0.710 0.134 0.328
9 P 0.802 0.564 0.961
10 P 0.866 0.290 0.672
11 W 0.000 0.500 0.500
12 W 0.500 0.000 0.500
13 O 0.060 0.666 0.497
14 O 0.060 0.822 0.178
15 O 0.104 0.404 0.183
16 O 0.172 0.417 0.750
17 O 0.178 0.940 0.822
18 O 0.210 0.581 0.139
19 O 0.265 0.735 0.500
20 O 0.334 0.940 0.503
21 O 0.349 0.349 0.123
22 O 0.404 0.104 0.183
23 O 0.417 0.172 0.750
24 O 0.419 0.790 0.861
25 O 0.581 0.210 0.139
26 O 0.583 0.828 0.250
27 O 0.596 0.896 0.817
28 O 0.651 0.651 0.877
29 O 0.666 0.060 0.497
30 O 0.735 0.265 0.500
31 O 0.790 0.419 0.861
32 O 0.822 0.060 0.178
33 O 0.828 0.583 0.250
34 O 0.896 0.596 0.817
35 O 0.940 0.178 0.822
36 O 0.940 0.334 0.503


No. 2
Computed, not measured: an optimized crystal structure of Li3P3W2O12 at the GGA-PBEsol level of DFT.

total magnetic moment	6.00	μB per formula unit
DFT total energy	-7.648	eV per atom
energy above the most stable polymorph in this dataset	0.27	kcal/mol of atoms

Cell: 8.505 8.896 14.816 Å, 90.00 124.89 90.00°
Element x y z (fractional)
1 Li 0.083 0.016 0.150
2 Li 0.083 0.484 0.650
3 Li 0.144 0.224 0.820
4 Li 0.144 0.276 0.320
5 Li 0.267 0.091 0.686
6 Li 0.267 0.409 0.186
7 Li 0.733 0.591 0.814
8 Li 0.733 0.909 0.314
9 Li 0.856 0.724 0.680
10 Li 0.856 0.776 0.180
11 Li 0.917 0.516 0.350
12 Li 0.917 0.984 0.850
13 P 0.032 0.249 0.988
14 P 0.032 0.251 0.488
15 P 0.237 0.607 0.352
16 P 0.237 0.893 0.852
17 P 0.459 0.116 0.346
18 P 0.459 0.384 0.846
19 P 0.541 0.616 0.154
20 P 0.541 0.884 0.654
21 P 0.763 0.107 0.148
22 P 0.763 0.393 0.648
23 P 0.968 0.749 0.512
24 P 0.968 0.751 0.012
25 W 0.145 0.539 0.889
26 W 0.145 0.961 0.389
27 W 0.363 0.532 0.609
28 W 0.363 0.968 0.109
29 W 0.637 0.032 0.891
30 W 0.637 0.468 0.391
31 W 0.855 0.039 0.611
32 W 0.855 0.461 0.111
33 O 0.001 0.130 0.550
34 O 0.001 0.370 0.050
35 O 0.129 0.181 0.436
36 O 0.129 0.319 0.936
37 O 0.133 0.740 0.809
38 O 0.133 0.760 0.309
39 O 0.134 0.011 0.755
40 O 0.134 0.489 0.255
41 O 0.152 0.667 0.604
42 O 0.152 0.833 0.104
43 O 0.174 0.138 0.079
44 O 0.174 0.362 0.579
45 O 0.199 0.547 0.437
46 O 0.199 0.953 0.937
47 O 0.249 0.072 0.306
48 O 0.249 0.428 0.806
49 O 0.401 0.590 0.032
50 O 0.401 0.910 0.532
51 O 0.438 0.212 0.821
52 O 0.438 0.288 0.321
53 O 0.449 0.613 0.397
54 O 0.449 0.887 0.897
55 O 0.487 0.524 0.221
56 O 0.487 0.976 0.721
57 O 0.513 0.024 0.279
58 O 0.513 0.476 0.779
59 O 0.551 0.113 0.103
60 O 0.551 0.387 0.603
61 O 0.562 0.712 0.679
62 O 0.562 0.788 0.179
63 O 0.599 0.090 0.468
64 O 0.599 0.410 0.968
65 O 0.751 0.572 0.194
66 O 0.751 0.928 0.694
67 O 0.801 0.047 0.063
68 O 0.801 0.453 0.563
69 O 0.826 0.638 0.421
70 O 0.826 0.862 0.921
71 O 0.848 0.167 0.896
72 O 0.848 0.333 0.396
73 O 0.866 0.511 0.745
74 O 0.866 0.989 0.245
75 O 0.867 0.240 0.691
76 O 0.867 0.260 0.191
77 O 0.871 0.681 0.064
78 O 0.871 0.819 0.564
79 O 0.999 0.630 0.950
80 O 0.999 0.870 0.450


No. 3
Computed, not measured: an optimized crystal structure of LiP4WO12 at the GGA-PBEsol level of DFT.

total magnetic moment	3.00	μB per formula unit
DFT total energy	-7.674	eV per atom
energy above the most stable polymorph in this dataset	0.00	kcal/mol of atoms

Cell: 12.859 8.255 9.479 Å, 90.00 90.00 90.00°
Element x y z (fractional)
1 Li 0.000 0.001 0.250
2 Li 0.000 0.999 0.750
3 Li 0.500 0.499 0.750
4 Li 0.500 0.501 0.250
5 P 0.136 0.173 0.001
6 P 0.136 0.827 0.501
7 P 0.154 0.466 0.506
8 P 0.154 0.534 0.006
9 P 0.346 0.034 0.006
10 P 0.346 0.966 0.506
11 P 0.364 0.327 0.501
12 P 0.364 0.673 0.001
13 P 0.636 0.327 0.999
14 P 0.636 0.673 0.499
15 P 0.654 0.034 0.494
16 P 0.654 0.966 0.994
17 P 0.846 0.466 0.994
18 P 0.846 0.534 0.494
19 P 0.864 0.173 0.499
20 P 0.864 0.827 0.999
21 W 0.000 0.370 0.250
22 W 0.000 0.630 0.750
23 W 0.500 0.130 0.750
24 W 0.500 0.870 0.250
25 O 0.063 0.184 0.126
26 O 0.063 0.816 0.626
27 O 0.073 0.460 0.621
28 O 0.073 0.540 0.121
29 O 0.102 0.087 0.873
30 O 0.102 0.913 0.373
31 O 0.133 0.367 0.376
32 O 0.133 0.633 0.876
33 O 0.177 0.351 0.962
34 O 0.177 0.649 0.462
35 O 0.239 0.092 0.070
36 O 0.239 0.908 0.570
37 O 0.261 0.408 0.570
38 O 0.261 0.592 0.070
39 O 0.323 0.149 0.462
40 O 0.323 0.851 0.962
41 O 0.367 0.133 0.876
42 O 0.367 0.867 0.376
43 O 0.398 0.413 0.373
44 O 0.398 0.587 0.873
45 O 0.427 0.040 0.121
46 O 0.427 0.960 0.621
47 O 0.437 0.316 0.626
48 O 0.437 0.684 0.126
49 O 0.563 0.316 0.874
50 O 0.563 0.684 0.374
51 O 0.573 0.040 0.379
52 O 0.573 0.960 0.879
53 O 0.602 0.413 0.127
54 O 0.602 0.587 0.627
55 O 0.633 0.133 0.624
56 O 0.633 0.867 0.124
57 O 0.677 0.149 0.038
58 O 0.677 0.851 0.538
59 O 0.739 0.408 0.930
60 O 0.739 0.592 0.430
61 O 0.761 0.092 0.430
62 O 0.761 0.908 0.930
63 O 0.823 0.351 0.538
64 O 0.823 0.649 0.038
65 O 0.867 0.367 0.124
66 O 0.867 0.633 0.624
67 O 0.898 0.087 0.627
68 O 0.898 0.913 0.127
69 O 0.927 0.460 0.879
70 O 0.927 0.540 0.379
71 O 0.937 0.184 0.374
72 O 0.937 0.816 0.874


No. 4
Computed, not measured: an optimized crystal structure of LiP4WO12 at the GGA-PBEsol level of DFT.

total magnetic moment	3.00	μB per formula unit
DFT total energy	-7.668	eV per atom
energy above the most stable polymorph in this dataset	0.13	kcal/mol of atoms

Cell: 7.257 7.257 10.136 Å, 113.12 113.12 70.03°
Element x y z (fractional)
1 Li 0.030 0.970 0.750
2 Li 0.970 0.030 0.250
3 P 0.253 0.727 0.025
4 P 0.273 0.747 0.475
5 P 0.301 0.317 0.806
6 P 0.317 0.301 0.306
7 P 0.683 0.699 0.694
8 P 0.699 0.683 0.194
9 P 0.727 0.253 0.525
10 P 0.747 0.273 0.975
11 W 0.000 0.500 0.500
12 W 0.500 0.000 0.000
13 O 0.090 0.849 0.096
14 O 0.121 0.294 0.323
15 O 0.151 0.910 0.404
16 O 0.193 0.341 0.653
17 O 0.199 0.698 0.577
18 O 0.207 0.502 0.929
19 O 0.294 0.121 0.823
20 O 0.302 0.801 0.923
21 O 0.330 0.533 0.349
22 O 0.341 0.193 0.153
23 O 0.467 0.670 0.151
24 O 0.498 0.793 0.571
25 O 0.502 0.207 0.429
26 O 0.533 0.330 0.849
27 O 0.659 0.807 0.847
28 O 0.670 0.467 0.651
29 O 0.698 0.199 0.077
30 O 0.706 0.879 0.177
31 O 0.793 0.498 0.071
32 O 0.801 0.302 0.423
33 O 0.807 0.659 0.347
34 O 0.849 0.090 0.596
35 O 0.879 0.706 0.677
36 O 0.910 0.151 0.904


The lowest DFT total energy belongs to which entry?
number 3